No. 1
Computed, not measured: a relaxed Nd2Tm6Pu crystal at the GGA-PBE level of DFT.

## Properties
Spin magnetization   6.49 μB/f.u.
Space group   P-1
DFT formation energy   42 meV/atom

Cell lengths 6.1990, 6.6405, 14.0394 Å; angles 97.73, 102.59, 90.01 degrees
Fractional coordinates of all 18 atoms:
Nd  0.0835  0.4143  0.3302
Nd  0.3626  0.6986  0.5584
Nd  0.6374  0.3014  0.4416
Nd  0.9165  0.5857  0.6698
Tm  0.0330  0.3634  0.8931
Tm  0.1417  0.1337  0.1069
Tm  0.1951  0.1902  0.5593
Tm  0.2484  0.9136  0.3292
Tm  0.3099  0.9729  0.7859
Tm  0.4751  0.4684  0.7855
Tm  0.5249  0.5316  0.2145
Tm  0.6901  0.0271  0.2141
Tm  0.7516  0.0864  0.6708
Tm  0.8049  0.8098  0.4407
Tm  0.8583  0.8663  0.8931
Tm  0.9670  0.6366  0.1069
Pu  0.4224  0.7495  0.9995
Pu  0.5776  0.2505  0.0005

No. 2
Computed, not measured: a relaxed LaMnRuI2 crystal at the GGA-PBE level of DFT.

## Properties
Distance to the lowest polymorph of the same formula   0.329 eV/atom
Spin magnetization   6.00 μB/f.u.
Space group   P4/mmm
Energy relative to the elements, uncorrected   596 meV per atom

Cell lengths 6.4109, 6.4109, 4.8110 Å; angles 90.00, 90.00, 90.00 degrees
Fractional coordinates of all 5 atoms:
La  0.0000  0.0000  0.0000
Mn  0.5000  0.5000  0.5000
Ru  0.0000  0.0000  0.5000
I  0.0000  0.5000  0.0000
I  0.5000  0.0000  0.0000

No. 3
Computed, not measured: a relaxed CePuSbPd crystal at the GGA-PBE level of DFT.

## Properties
Spin magnetization   7.04 μB/f.u.
Space group   F-43m
Energy relative to the elements, uncorrected   -573 meV per atom

Cell lengths 5.2393, 5.2393, 5.2393 Å; angles 60.00, 60.00, 60.00 degrees
Fractional coordinates of all 4 atoms:
Ce  0.0000  0.0000  0.0000
Pu  0.5000  0.5000  0.5000
Sb  0.2500  0.2500  0.2500
Pd  0.7500  0.7500  0.7500